Below is an optimized crystal structure of NbTlBi2N, with properties calculated at the PBEsol level.

Formation energy from raw total energies   6.747 eV per formula unit
SG   P4/mmm

Geometry as POSCAR:
```
NbTlBi2N
1.0
5.392 0.000 0.000
0.000 5.392 0.000
0.000 0.000 5.511
Nb Tl Bi N
1 1 2 1
direct
0.000 0.000 0.000 Nb
0.000 0.000 0.500 Tl
0.000 0.500 0.000 Bi
0.500 0.000 0.000 Bi
0.500 0.500 0.500 N
```